Entry from Alexandria: an optimized crystal structure of NaCr2F2 (GGA+U).

a = 6.585 Å, b = 6.585 Å, c = 4.114 Å
α = 90.00°, β = 90.00°, γ = 90.00°
Sites, in units of the cell vectors:
Cr  0.173  0.673  0.500
Cr  0.673  0.827  0.500
Cr  0.827  0.327  0.500
Cr  0.327  0.173  0.500
F  0.183  0.683  0.000
F  0.683  0.817  0.000
F  0.817  0.317  0.000
F  0.317  0.183  0.000
Na  0.000  0.000  0.000
Na  0.500  0.500  0.000

Results
- volume (Å³/atom) = 17.84
- magnetization (μB per cell) = 17.9
- crystal system = tetragonal
- distance to the lowest polymorph of the same formula (meV per atom) = 0